Na2Bi2Pd after structural relaxation, computed with GGA-PBE.

Results
- Energy relative to the elements: -196 meV per atom
- Energy: -3.315 eV per atom
- Energy above the lowest structure with this stoichiometry: 95.8 meV per atom
- SG: No. 141

The structure in CIF format:
```
data_Na2Bi2Pd
_space_group_name_H-M_alt 'P 1'
_space_group_IT_number 1
_space_group_name_Hall 'P 1'
_cell_length_a 12.339
_cell_length_b 12.339
_cell_length_c 12.339
_cell_angle_alpha 157.79
_cell_angle_beta 157.79
_cell_angle_gamma 31.62
loop_
_atom_site_label
_atom_site_fract_x
_atom_site_fract_y
_atom_site_fract_z
Na1 0.048 0.298 0.750
Na2 0.298 0.048 0.250
Na3 0.702 0.952 0.750
Na4 0.952 0.702 0.250
Bi1 0.188 0.438 0.750
Bi2 0.438 0.188 0.250
Bi3 0.562 0.812 0.750
Bi4 0.812 0.562 0.250
Pd1 0.375 0.625 0.750
Pd2 0.625 0.375 0.250
```